(1)
Below is Re2SiSb at its PBEsol-relaxed geometry, with properties calculated at the meta-GGA SCAN level.

Output
Formation energy from raw total energies, kJ/mol of atoms: 25
Distance to the lowest polymorph of the same formula, eV/atom: 0.000

Structure (extended XYZ):
```
4
Lattice="2.9331 0.0000 0.0000 0.0000 2.9331 0.0000 0.0000 0.0000 7.8471" Properties=species:S:1:pos:R:3 pbc="T T T"
Sb 0.0000 0.0000 3.7125
Si 1.4665 1.4665 6.3328
Re 0.0000 0.0000 0.0421
Re 1.4665 1.4665 1.6833
```

(2)
Below is Re2Si2Sb at its PBEsol-relaxed geometry, with properties calculated at the meta-GGA SCAN level.

Output
Formation energy from raw total energies, kJ/mol of atoms: 8

Structure (extended XYZ):
```
5
Lattice="3.4920 0.0000 0.0000 0.0000 3.4920 0.0000 -1.7460 -1.7460 6.4306" Properties=species:S:1:pos:R:3 pbc="T T T"
Re 0.0000 0.0000 4.9530
Re 1.7460 1.7460 1.4776
Sb 0.0000 0.0000 0.0000
Si 0.0000 1.7460 3.2153
Si 1.7460 0.0000 3.2153
```

(3)
Below is Re2SiSb at its PBEsol-relaxed geometry, with properties calculated at the meta-GGA SCAN level.

Output
Formation energy from raw total energies, kJ/mol of atoms: 80
Distance to the lowest polymorph of the same formula, eV/atom: 0.565

Structure (extended XYZ):
```
4
Lattice="-1.8970 1.8578 1.5992 0.4190 -2.4223 3.3109 3.9369 2.7297 1.4988" Properties=species:S:1:pos:R:3 pbc="T T T"
Re 1.0200 2.2938 1.5490
Re 0.0000 0.0000 0.0000
Sb -0.7390 -0.2822 2.4551
Si 2.1780 0.1537 2.4049
```

(4)
Below is Re2SnSb at its PBEsol-relaxed geometry, with properties calculated at the meta-GGA SCAN level.

Output
Formation energy from raw total energies, kJ/mol of atoms: 65

Structure (extended XYZ):
```
4
Lattice="4.5785 0.0000 0.0000 2.2893 3.9651 0.0000 2.2893 1.3217 3.7383" Properties=species:S:1:pos:R:3 pbc="T T T"
Sn 0.0000 0.0000 0.0000
Re 2.2893 1.3217 0.9346
Re 6.8678 3.9651 2.8038
Sb 4.5785 2.6434 1.8692
```

(5)
Below is ReTc2SnSb at its PBEsol-relaxed geometry, with properties calculated at the meta-GGA SCAN level.

Output
Formation energy from raw total energies, kJ/mol of atoms: 135

Structure (extended XYZ):
```
5
Lattice="4.7424 0.0000 0.0000 0.0000 4.7424 0.0000 0.0000 0.0000 4.9800" Properties=species:S:1:pos:R:3 pbc="T T T"
Sb 0.0000 0.0000 2.4900
Tc 2.3712 0.0000 0.0000
Tc 0.0000 2.3712 0.0000
Sn 2.3712 2.3712 2.4900
Re 0.0000 0.0000 0.0000
```

(6)
Below is ReSnSbTe2 at its PBEsol-relaxed geometry, with properties calculated at the meta-GGA SCAN level.

Output
Formation energy from raw total energies, kJ/mol of atoms: 173

Structure (extended XYZ):
```
5
Lattice="5.5082 0.0000 0.0000 0.0000 5.5082 0.0000 0.0000 0.0000 5.5651" Properties=species:S:1:pos:R:3 pbc="T T T"
Sn 0.0000 0.0000 0.0000
Sb 0.0000 0.0000 2.7825
Te 2.7541 0.0000 0.0000
Te 0.0000 2.7541 0.0000
Re 2.7541 2.7541 2.7825
```

(7)
Below is SrReSb2 at its PBEsol-relaxed geometry, with properties calculated at the meta-GGA SCAN level.

Output
Formation energy from raw total energies, kJ/mol of atoms: 19
Distance to the lowest polymorph of the same formula, eV/atom: 0.000

Structure (extended XYZ):
```
4
Lattice="-0.1455 -0.4775 -3.3897 4.4861 -0.2107 -0.1628 -0.2486 -6.1745 1.1401" Properties=species:S:1:pos:R:3 pbc="T T T"
Re 2.1188 -3.1926 0.4886
Sb -0.0731 -1.6928 0.1754
Sb -0.3209 -4.9591 -2.4250
Sr 2.1703 -0.3441 -1.7763
```

(8)
Below is SrReSb2 at its PBEsol-relaxed geometry, with properties calculated at the meta-GGA SCAN level.

Output
Formation energy from raw total energies, kJ/mol of atoms: 53
Distance to the lowest polymorph of the same formula, eV/atom: 0.346

Structure (extended XYZ):
```
4
Lattice="-0.9024 -2.8897 -2.6914 4.4437 -1.5542 0.1789 -1.1602 -2.9126 3.5163" Properties=species:S:1:pos:R:3 pbc="T T T"
Sr 1.1905 -3.6783 0.5019
Sb -0.5801 -1.4563 1.7581
Sb 2.2218 -0.7771 0.0894
Re -0.4512 -1.4449 -1.3457
```

(9)
Below is Sr2ReSb at its PBEsol-relaxed geometry, with properties calculated at the meta-GGA SCAN level.

Output
Formation energy from raw total energies, kJ/mol of atoms: 47

Structure (extended XYZ):
```
4
Lattice="3.0854 0.0000 0.0000 0.0000 5.8352 -0.0716 0.0000 -1.8886 5.5216" Properties=species:S:1:pos:R:3 pbc="T T T"
Sr 0.0000 -0.9443 2.7608
Sr 0.0000 2.9176 -0.0358
Re 1.5427 0.0000 0.0000
Sb 1.5427 1.9733 2.7250
```

(10)
Below is SrRe3Sb at its PBEsol-relaxed geometry, with properties calculated at the meta-GGA SCAN level.

Output
Formation energy from raw total energies, kJ/mol of atoms: 197

Structure (extended XYZ):
```
5
Lattice="-3.9481 -1.7441 2.3267 1.0073 -4.5008 -1.6645 2.7278 -0.8622 3.9823" Properties=species:S:1:pos:R:3 pbc="T T T"
Sb 0.0000 0.0000 0.0000
Re 0.5037 -2.2504 -0.8322
Re -1.9740 -0.8720 1.1634
Re 1.3639 -0.4311 1.9911
Sr -0.1065 -3.5536 2.3222
```

(11)
Below is TaRe2Sb at its PBEsol-relaxed geometry, with properties calculated at the meta-GGA SCAN level.

Output
Formation energy from raw total energies, kJ/mol of atoms: 38

Structure (extended XYZ):
```
4
Lattice="2.9061 0.0000 -0.0061 0.0000 4.5751 0.0000 -0.1159 0.0000 5.0737" Properties=species:S:1:pos:R:3 pbc="T T T"
Re 1.8966 0.0000 3.7197
Re 0.8936 0.0000 1.3479
Sb 1.4531 2.2876 -0.0030
Ta -0.0579 2.2876 2.5369
```

(12)
Below is TaRe2Sb at its PBEsol-relaxed geometry, with properties calculated at the meta-GGA SCAN level.

Output
Formation energy from raw total energies, kJ/mol of atoms: 22

Structure (extended XYZ):
```
4
Lattice="-0.6401 -3.1800 -0.4550 3.7148 -0.4259 -2.2499 0.6898 0.8013 5.2194" Properties=species:S:1:pos:R:3 pbc="T T T"
Ta 2.9753 -0.7157 0.8160
Sb 2.2098 -0.9938 3.8368
Re 0.0030 -0.0013 0.0052
Re 0.8036 -2.0953 1.7235
```

(13)
Below is ReTcSb at its PBEsol-relaxed geometry, with properties calculated at the meta-GGA SCAN level.

Output
Formation energy from raw total energies, kJ/mol of atoms: 55
Distance to the lowest polymorph of the same formula, eV/atom: 0.000

Structure (extended XYZ):
```
3
Lattice="2.9080 0.0000 0.0000 0.0000 4.3945 0.0000 0.0000 -2.1972 3.8057" Properties=species:S:1:pos:R:3 pbc="T T T"
Re 2.7132 0.0000 0.0000
Tc 1.1695 0.0000 2.5371
Sb 1.9332 2.1972 1.2686
```

(14)
Below is ReTcSb at its PBEsol-relaxed geometry, with properties calculated at the meta-GGA SCAN level.

Output
Formation energy from raw total energies, kJ/mol of atoms: 107
Distance to the lowest polymorph of the same formula, eV/atom: 0.548

Structure (extended XYZ):
```
3
Lattice="-3.7309 -0.1823 2.1240 -1.8537 -3.8005 0.7643 -0.1210 -1.5658 3.9997" Properties=species:S:1:pos:R:3 pbc="T T T"
Re -2.8528 -2.7743 3.4440
Sb -1.4264 -1.3871 1.7220
Tc 0.0000 0.0000 0.0000
```

(15)
Below is ReTcSbTe2 at its PBEsol-relaxed geometry, with properties calculated at the meta-GGA SCAN level.

Output
Formation energy from raw total energies, kJ/mol of atoms: 152

Structure (extended XYZ):
```
5
Lattice="5.0172 0.0000 0.0000 0.0000 5.0646 0.0000 0.0000 0.0000 5.0646" Properties=species:S:1:pos:R:3 pbc="T T T"
Te 0.0000 2.5323 0.0000
Te 0.0000 0.0000 2.5323
Tc 0.0000 0.0000 0.0000
Re 2.5086 2.5323 2.5323
Sb 2.5086 0.0000 0.0000
```

(16)
Below is ReSbTe2 at its PBEsol-relaxed geometry, with properties calculated at the meta-GGA SCAN level.

Output
Formation energy from raw total energies, kJ/mol of atoms: 23

Structure (extended XYZ):
```
4
Lattice="-0.8661 -0.8032 -3.9309 4.4617 -2.5212 -0.4679 0.0284 -5.4054 1.0982" Properties=species:S:1:pos:R:3 pbc="T T T"
Re 1.7978 -1.6622 -2.1994
Te 1.4532 -2.7240 0.2364
Te 3.0369 -5.2026 0.3939
Sb -0.4330 -0.4016 -1.9655
```

(17)
Below is ReSbTe2 at its PBEsol-relaxed geometry, with properties calculated at the meta-GGA SCAN level.

Output
Formation energy from raw total energies, kJ/mol of atoms: 100

Structure (extended XYZ):
```
4
Lattice="-2.7906 -3.5680 1.9829 1.2804 -4.7424 -0.5662 1.6748 -2.5873 3.8667" Properties=species:S:1:pos:R:3 pbc="T T T"
Sb 0.0411 -2.7244 1.3209
Te 0.0000 0.0000 0.0000
Te 0.1234 -8.1732 3.9626
Re 0.0823 -5.4488 2.6417
```

(18)
Below is ReSbTe2 at its PBEsol-relaxed geometry, with properties calculated at the meta-GGA SCAN level.

Output
Formation energy from raw total energies, kJ/mol of atoms: 25

Structure (extended XYZ):
```
4
Lattice="3.1689 0.0000 0.0000 0.0000 3.1689 0.0000 0.0000 0.0000 9.5961" Properties=species:S:1:pos:R:3 pbc="T T T"
Te 1.5844 1.5844 3.1487
Te 0.0000 0.0000 9.5685
Sb 1.5844 1.5844 6.5317
Re 0.0000 0.0000 4.7415
```

(19)
Below is ReSbTe2 at its PBEsol-relaxed geometry, with properties calculated at the meta-GGA SCAN level.

Output
Formation energy from raw total energies, kJ/mol of atoms: 86

Structure (extended XYZ):
```
4
Lattice="-1.1991 0.5670 2.7490 -3.0302 0.1059 0.3509 -1.5466 -11.5212 3.3962" Properties=species:S:1:pos:R:3 pbc="T T T"
Te -4.2592 -1.8963 3.6168
Te -1.5167 -8.9519 2.8794
Re 0.0000 0.0000 0.0000
Sb -2.8879 -5.4241 3.2481
```

(20)
Below is ReSbTe2 at its PBEsol-relaxed geometry, with properties calculated at the meta-GGA SCAN level.

Output
Formation energy from raw total energies, kJ/mol of atoms: 45

Structure (extended XYZ):
```
4
Lattice="-0.7404 2.6950 -1.6498 -4.1780 -1.9376 -1.2901 -0.2092 1.9956 6.5458" Properties=species:S:1:pos:R:3 pbc="T T T"
Sb -3.0216 -0.1390 1.1290
Re -2.6180 2.3294 4.9798
Te -2.0671 2.8573 2.4029
Te -0.0894 0.0795 0.1700
```

(21)
Below is TlReSbTe2 at its PBEsol-relaxed geometry, with properties calculated at the meta-GGA SCAN level.

Output
Formation energy from raw total energies, kJ/mol of atoms: 55
Distance to the lowest polymorph of the same formula, eV/atom: 0.000

Structure (extended XYZ):
```
5
Lattice="5.0986 0.0000 0.0000 0.0000 5.3247 0.0000 0.0000 0.0000 5.3247" Properties=species:S:1:pos:R:3 pbc="T T T"
Te 0.0000 2.6624 0.0000
Te 0.0000 0.0000 2.6624
Tl 2.5493 2.6624 2.6624
Re 0.0000 0.0000 0.0000
Sb 2.5493 0.0000 0.0000
```

(22)
Below is Re2SbTeW at its PBEsol-relaxed geometry, with properties calculated at the meta-GGA SCAN level.

Output
Formation energy from raw total energies, kJ/mol of atoms: 246

Structure (extended XYZ):
```
5
Lattice="4.8048 0.0000 0.0000 0.0000 4.8048 0.0000 0.0000 0.0000 4.8966" Properties=species:S:1:pos:R:3 pbc="T T T"
W 0.0000 0.0000 2.4483
Sb 2.4024 2.4024 2.4483
Re 2.4024 0.0000 0.0000
Re 0.0000 2.4024 0.0000
Te 0.0000 0.0000 0.0000
```

(23)
Below is ZrReSb2Te at its PBEsol-relaxed geometry, with properties calculated at the meta-GGA SCAN level.

Output
Formation energy from raw total energies, kJ/mol of atoms: 132

Structure (extended XYZ):
```
5
Lattice="5.3788 0.0000 0.0000 0.0000 5.4508 0.0000 0.0000 0.0000 5.4508" Properties=species:S:1:pos:R:3 pbc="T T T"
Te 2.6894 0.0000 0.0000
Re 2.6894 2.7254 2.7254
Sb 0.0000 0.0000 2.7254
Sb 0.0000 2.7254 0.0000
Zr 0.0000 0.0000 0.0000
```

(24)
Below is Tl2ReSb at its PBEsol-relaxed geometry, with properties calculated at the meta-GGA SCAN level.

Output
Formation energy from raw total energies, kJ/mol of atoms: 126
Distance to the lowest polymorph of the same formula, eV/atom: 0.220

Structure (extended XYZ):
```
4
Lattice="4.9836 0.0000 0.0000 2.4918 4.3159 0.0000 2.4918 1.4386 4.0691" Properties=species:S:1:pos:R:3 pbc="T T T"
Tl 7.4754 4.3159 3.0518
Tl 2.4918 1.4386 1.0173
Re 0.0000 0.0000 0.0000
Sb 4.9836 2.8773 2.0345
```

(25)
Below is Tl2ReSb at its PBEsol-relaxed geometry, with properties calculated at the meta-GGA SCAN level.

Output
Formation energy from raw total energies, kJ/mol of atoms: 105
Distance to the lowest polymorph of the same formula, eV/atom: 0.000

Structure (extended XYZ):
```
4
Lattice="-4.4701 -1.8300 -1.2495 -1.3480 -4.5533 1.5304 -3.5437 -0.5167 3.4738" Properties=species:S:1:pos:R:3 pbc="T T T"
Sb -7.0214 -5.1751 2.8160
Tl 0.0000 0.0000 0.0000
Tl -2.3405 -1.7250 0.9387
Re -4.6809 -3.4500 1.8773
```

(26)
Below is Tl2ReSb at its PBEsol-relaxed geometry, with properties calculated at the meta-GGA SCAN level.

Output
Formation energy from raw total energies, kJ/mol of atoms: 109
Distance to the lowest polymorph of the same formula, eV/atom: 0.040

Structure (extended XYZ):
```
4
Lattice="-3.6406 -1.4685 -1.0998 1.1470 -3.7291 1.1824 -1.9264 1.0042 5.0360" Properties=species:S:1:pos:R:3 pbc="T T T"
Sb -0.9632 0.5021 2.5180
Tl -1.8203 -0.7342 -0.5499
Tl 0.5735 -1.8645 0.5912
Re -2.2100 -2.0967 2.5593
```

(27)
Below is Re2SbW at its PBEsol-relaxed geometry, with properties calculated at the meta-GGA SCAN level.

Output
Formation energy from raw total energies, kJ/mol of atoms: 58

Structure (extended XYZ):
```
4
Lattice="-1.9613 -2.3847 -0.4408 3.1603 -2.1525 -2.4163 0.9393 0.3083 5.1874" Properties=species:S:1:pos:R:3 pbc="T T T"
Sb -0.9807 -1.1924 -0.2204
Re 0.7388 -0.9412 1.8047
Re 1.3995 -3.2878 0.5257
W 1.5801 -1.0763 -1.2081
```

(28)
Below is ReSbW2 at its PBEsol-relaxed geometry, with properties calculated at the meta-GGA SCAN level.

Output
Formation energy from raw total energies, kJ/mol of atoms: 51

Structure (extended XYZ):
```
4
Lattice="2.9365 0.0000 0.0000 0.0000 4.1802 0.0000 0.0000 0.0000 5.3424" Properties=species:S:1:pos:R:3 pbc="T T T"
W 0.0000 0.0000 4.0693
W 0.0000 0.0000 1.2731
Sb 1.4683 2.0901 2.6712
Re 1.4683 2.0901 0.0000
```

(29)
Below is ReSb2W at its PBEsol-relaxed geometry, with properties calculated at the meta-GGA SCAN level.

Output
Formation energy from raw total energies, kJ/mol of atoms: 77
Distance to the lowest polymorph of the same formula, eV/atom: 0.055

Structure (extended XYZ):
```
4
Lattice="3.1096 0.0000 0.0000 1.5548 2.6930 0.0000 1.5548 0.8977 8.5646" Properties=species:S:1:pos:R:3 pbc="T T T"
Sb 4.6644 2.6930 6.4813
Sb 1.5548 0.8977 2.0833
W 3.1096 1.7953 4.2823
Re 0.0000 0.0000 0.0000
```

(30)
Below is ReSb2W at its PBEsol-relaxed geometry, with properties calculated at the meta-GGA SCAN level.

Output
Formation energy from raw total energies, kJ/mol of atoms: 71
Distance to the lowest polymorph of the same formula, eV/atom: 0.000

Structure (extended XYZ):
```
4
Lattice="-1.7075 0.1710 -2.6415 3.1533 -2.0003 -2.1678 -3.0442 -4.0242 3.5853" Properties=species:S:1:pos:R:3 pbc="T T T"
Re 0.3745 -3.5578 -0.4724
W 0.4710 -1.4505 -2.2765
Sb -1.8853 -2.1094 -0.7961
Sb -1.4341 -5.5039 -1.3075
```